(1)
Density functional theory data (PBE) for a relaxed KCrRhS3 crystal.

Lattice parameters (Å, degrees): 8.060 3.557 9.239 90.00 112.72 90.00
Fractional coordinates of all 12 atoms:
1 K 0.232 0.250 0.254
2 K 0.768 0.750 0.746
3 Cr 0.321 0.750 0.836
4 Cr 0.679 0.250 0.164
5 Rh 0.111 0.250 0.600
6 Rh 0.889 0.750 0.400
7 S 0.131 0.250 0.857
8 S 0.274 0.750 0.573
9 S 0.461 0.750 0.120
10 S 0.539 0.250 0.880
11 S 0.726 0.250 0.427
12 S 0.869 0.750 0.143

ΔE_f (raw) (eV/atom): -0.699
Calculated volume (Å³/cell): 244.4
Space group: P2_1/m (11)

(2)
Density functional theory data (PBE) for a relaxed MnAg2Br crystal.

Lattice parameters (Å, degrees): 3.213 4.388 11.804 90.00 90.00 90.00
Fractional coordinates of all 8 atoms:
1 Mn 0.000 0.000 0.000
2 Mn 0.500 0.500 0.500
3 Ag 0.000 0.500 0.289
4 Ag 0.000 0.500 0.711
5 Ag 0.500 0.000 0.211
6 Ag 0.500 0.000 0.789
7 Br 0.000 0.000 0.500
8 Br 0.500 0.500 0.000

ΔE_f (raw) (eV/atom): 0.270
Energy above the lowest structure with this stoichiometry (eV/atom): 0.200
Calculated volume (Å³/cell): 166.4
Space group: Immm (71)

(3)
Density functional theory data (PBE) for a relaxed PrMgAlS4 crystal.

Lattice parameters (Å, degrees): 7.686 7.686 7.686 119.65 119.60 90.65
Fractional coordinates of all 14 atoms:
1 Pr 0.500 0.000 0.000
2 Pr 0.500 0.500 0.500
3 Mg 0.000 0.000 0.000
4 Mg 0.500 0.000 0.500
5 Al 0.127 0.377 0.750
6 Al 0.873 0.623 0.250
7 S 0.231 0.246 0.986
8 S 0.239 0.232 0.494
9 S 0.239 0.745 0.006
10 S 0.240 0.754 0.486
11 S 0.760 0.246 0.514
12 S 0.761 0.255 0.994
13 S 0.761 0.768 0.506
14 S 0.769 0.754 0.014

ΔE_f (raw) (eV/atom): -1.400
Calculated volume (Å³/cell): 322.9
Space group: Imma (74)